one | The following is a GGA-PBE calculation of a relaxed LiPd2Au6 crystal, from Alexandria via LeMat-Bulk.

The structure in extended XYZ format:
```
9
Lattice="3.772 -0.440 1.410 -0.064 9.827 3.239 0.546 1.357 4.781" Properties=species:S:1:pos:R:3 pbc="T T T"
Au 3.403 6.944 7.611
Pd 1.651 9.144 7.166
Au 0.851 3.801 1.819
Li 0.241 5.592 4.010
Au 2.259 7.341 4.976
Au 0.508 9.624 4.555
Pd 2.603 1.601 2.265
Au 3.746 1.121 4.876
Au 1.995 3.404 4.454
```

Computed properties:
Magnetization ... 0.00 Bohr magnetons per cell

two | The following is a GGA-PBE calculation of a relaxed LiPd2Au6 crystal, from Alexandria via LeMat-Bulk.

The structure in extended XYZ format:
```
9
Lattice="-2.132 2.910 -2.026 -4.776 0.281 1.206 -0.916 6.367 5.884" Properties=species:S:1:pos:R:3 pbc="T T T"
Au -6.227 4.271 0.016
Au -5.562 3.741 2.779
Au -5.737 8.150 5.071
Pd -3.523 3.836 0.769
Au -1.596 5.286 5.048
Au -2.087 1.407 -0.007
Au -2.262 5.815 2.285
Li -2.846 3.324 3.545
Pd -4.301 5.721 4.295
```

Computed properties:
Magnetization ... 0.00 Bohr magnetons per cell

Which one sits at the top of the stability order? one does.

one | The following is a GGA-PBE calculation of a relaxed Li6Pd2Au crystal, from Alexandria via LeMat-Bulk.

The structure in extended XYZ format:
```
9
Lattice="2.736 -0.223 -0.179 0.679 7.267 1.099 0.679 2.650 6.855" Properties=species:S:1:pos:R:3 pbc="T T T"
Au 0.000 0.000 0.000
Li 2.047 4.103 4.815
Pd 3.189 3.083 2.473
Li 2.269 5.002 7.139
Pd 0.905 6.611 5.303
Li 2.269 8.054 3.334
Li 2.047 5.591 2.961
Li 1.825 1.640 4.442
Li 1.825 4.692 0.637
```

Computed properties:
Magnetization ... 0.00 Bohr magnetons per cell

two | The following is a GGA-PBE calculation of a relaxed Li6Pd2Au crystal, from Alexandria via LeMat-Bulk.

The structure in extended XYZ format:
```
9
Lattice="-0.988 -2.188 -4.471 3.855 -3.137 1.052 -3.417 -2.809 2.499" Properties=species:S:1:pos:R:3 pbc="T T T"
Li 1.332 -4.381 1.373
Li 2.138 -4.176 -0.940
Li -2.688 -3.958 0.020
Li -1.080 -4.272 1.853
Li -1.881 -3.754 -2.293
Li 0.530 -3.862 -2.773
Au 0.000 0.000 0.000
Pd -0.184 -2.722 -0.308
Pd -0.366 -5.413 -0.611
```

Computed properties:
Magnetization ... 0.00 Bohr magnetons per cell

Which one sits at the top of the stability order? two does.

one | The following is a GGA-PBE calculation of a relaxed Li5Pd2Au crystal, from Alexandria via LeMat-Bulk.

The structure in extended XYZ format:
```
8
Lattice="4.239 0.000 0.000 0.000 4.239 0.000 -2.119 -2.119 6.422" Properties=species:S:1:pos:R:3 pbc="T T T"
Li 2.119 0.000 1.731
Pd 2.119 2.119 3.242
Pd 0.000 0.000 3.180
Li 2.119 0.000 4.691
Au 0.000 0.000 0.000
Li 0.000 2.119 1.731
Li 0.000 2.119 4.691
Li 2.119 2.119 0.000
```

Computed properties:
Magnetization ... 0.00 Bohr magnetons per cell

two | The following is a GGA-PBE calculation of a relaxed Li5Pd2Au crystal, from Alexandria via LeMat-Bulk.

The structure in extended XYZ format:
```
8
Lattice="5.030 -0.084 -1.667 -2.640 4.282 -1.668 0.045 0.080 5.300" Properties=species:S:1:pos:R:3 pbc="T T T"
Li 3.181 1.125 -1.760
Li 0.711 1.248 4.372
Li 1.881 3.307 0.056
Li -0.656 3.308 -1.761
Au 1.904 3.345 2.707
Pd 3.200 1.165 0.890
Pd -0.635 3.348 0.890
Li 0.686 1.207 1.722
```

Computed properties:
Magnetization ... 0.00 Bohr magnetons per cell

Which one sits at the top of the stability order? one does.